No. 1
The following is a DFT calculation (SCAN) of a crystal of LiTcTe3 relaxed with PBEsol.

Properties
The value obtained for the formation energy without anion corrections is 226 meV/atom. The total magnetic moment is 3.6 Bohr magnetons per cell. As for the total energy: -29.6147 eV per atom.

Lattice parameters (Å, degrees): 5.2344 5.2344 5.2344 90.00 90.00 90.00
Space group Pm-3m (No. 221)
Unique sites:
Li  0.0000  0.0000  0.0000 [1 per cell]
Tc  0.5000  0.5000  0.5000 [1 per cell]
Te  0.0000  0.5000  0.5000 [3 per cell]

=====

No. 2
The following is a DFT calculation (SCAN) of a crystal of LiTc3Te relaxed with PBEsol.

Properties
The value obtained for the formation energy without anion corrections is 1666 meV/atom. The total magnetic moment is 3.0 Bohr magnetons per cell. As for the total energy: -27.2980 eV per atom.

Lattice parameters (Å, degrees): 4.8115 4.8115 4.8115 90.00 90.00 90.00
Space group Pm-3m (No. 221)
Unique sites:
Li  0.0000  0.0000  0.0000 [1 per cell]
Tc  0.0000  0.5000  0.5000 [3 per cell]
Te  0.5000  0.5000  0.5000 [1 per cell]

=====

No. 3
The following is a DFT calculation (SCAN) of a crystal of LiTc2Te relaxed with PBEsol.

Properties
The value obtained for the formation energy without anion corrections is 478 meV/atom. The total magnetic moment is 0.0 Bohr magnetons per cell. As for the total energy: -26.9625 eV per atom.

Lattice parameters (Å, degrees): 5.2152 8.6777 2.9966 90.00 113.85 90.00
Space group C2/m (No. 12)
Unique sites:
Li  0.0000  0.0000  0.0000 [2 per cell]
Tc  0.2500  0.2500  0.5000 [4 per cell]
Te  0.0000  0.5000  0.0000 [2 per cell]

=====

No. 4
The following is a DFT calculation (SCAN) of a crystal of LiTcTe relaxed with PBEsol.

Properties
The value obtained for the formation energy without anion corrections is 168 meV/atom. The total magnetic moment is 0.7 Bohr magnetons per cell. As for the total energy: -24.7324 eV per atom.

Lattice parameters (Å, degrees): 4.4028 4.4028 3.1734 90.00 90.00 120.00
Space group P-6m2 (No. 187)
Unique sites:
Li  0.0000  0.0000  0.0000 [1 per cell]
Tc  0.6667  0.3333  0.5000 [1 per cell]
Te  0.3333  0.6667  0.5000 [1 per cell]

=====

No. 5
The following is a DFT calculation (SCAN) of a crystal of Li2TcTe relaxed with PBEsol.

Properties
The value obtained for the formation energy without anion corrections is 202 meV/atom. The total magnetic moment is 0.4 Bohr magnetons per cell. As for the total energy: -19.0708 eV per atom.

Lattice parameters (Å, degrees): 3.2213 3.2213 25.5510 90.00 90.00 120.00
Space group R3m (No. 160, hexagonal axes)
Unique sites:
Li  0.0000  0.0000  0.0000 [3 per cell]
Li  0.0000  0.0000  0.2403 [3 per cell]
Tc  0.0000  0.0000  0.7452 [3 per cell]
Te  0.0000  0.0000  0.4822 [3 per cell]

=====

No. 6
The following is a DFT calculation (SCAN) of a crystal of Li2TcTe relaxed with PBEsol.

Properties
The value obtained for the formation energy without anion corrections is 152 meV/atom. The total magnetic moment is 0.0 Bohr magnetons per cell. As for the total energy: -19.1205 eV per atom.

Lattice parameters (Å, degrees): 3.5148 3.5148 5.1741 90.00 90.00 90.00
Space group P4/mmm (No. 123)
Unique sites:
Li  0.0000  0.0000  0.2337 [2 per cell]
Tc  0.5000  0.5000  0.0000 [1 per cell]
Te  0.5000  0.5000  0.5000 [1 per cell]

=====

No. 7
The following is a DFT calculation (SCAN) of a crystal of LiTc2Te relaxed with PBEsol.

Properties
The value obtained for the formation energy without anion corrections is 138 meV/atom. The total magnetic moment is 7.2 Bohr magnetons per cell. As for the total energy: -27.3026 eV per atom.

Lattice parameters (Å, degrees): 6.2043 6.2043 6.2043 90.00 90.00 90.00
Space group F-43m (No. 216)
Unique sites:
Li  0.0000  0.0000  0.0000 [4 per cell]
Tc  0.0000  0.0000  0.5000 [4 per cell]
Tc  0.2500  0.2500  0.7500 [4 per cell]
Te  0.2500  0.2500  0.2500 [4 per cell]

=====

No. 8
The following is a DFT calculation (SCAN) of a crystal of LiTlTc relaxed with PBEsol.

Properties
As for the energy above the most stable polymorph in this dataset: 87.3 kJ/mol of formula units. The formation energy from the elements is 235 kJ/mol of formula units. The total magnetic moment is 9.7 Bohr magnetons per cell. As for the total energy: -35.7903 eV per atom.

Lattice parameters (Å, degrees): 6.3203 6.3203 6.3203 90.00 90.00 90.00
Space group F-43m (No. 216)
Unique sites:
Li  0.0000  0.0000  0.0000 [4 per cell]
Tl  0.0000  0.0000  0.5000 [4 per cell]
Tc  0.2500  0.2500  0.2500 [4 per cell]

=====

Q: The highest total magnetic moment belongs to which entry?
A: LiTlTc

=====

Q: Look up the total magnetic moment of the eighth one.
A: 9.7 Bohr magnetons per cell

=====

Q: The highest total magnetic moment belongs to which entry?
A: LiTlTc

=====

Q: Look up the total magnetic moment of the fifth one.
A: 0.4 Bohr magnetons per cell